# 1
DFT (PBE) results for a relaxed Pr5SmTe8 crystal.

Computed properties:
* D(E_F): 20.16 states/eV/cell
* raw formation energy: -1.44 eV/atom
* ρ: 7.09 g cm⁻³

abc: 9.5624 9.5624 9.6091
angles: 90.00 90.00 90.00
Last column: nearest neighbours and their distance in Å.
Space group I-4 (No. 82)
One atom of each set of equivalent atoms:
Pr: 0.0000 0.0000 0.0000  8 Te 3.23-3.41
Pr: 0.1218 0.7497 0.6250  8 Te 3.23-3.42
Sm: 0.0000 0.5000 0.2500  8 Te 3.20-3.39
Te: 0.0744 0.8220 0.2988  1 Sm 3.20, 5 Pr 3.23-3.42
Te: 0.0759 0.6743 0.9517  5 Pr 3.23-3.41, 1 Sm 3.39

# 2
DFT (PBE) results for a relaxed CsPrS2 crystal.

Computed properties:
* D(E_F): 0.00 states/eV/cell
* raw formation energy: -1.78 eV/atom
* ρ: 4.34 g cm⁻³
* E above lowest polymorph: 21 meV per atom

abc: 4.2674 4.2674 24.6080
angles: 90.00 90.00 120.00
Last column: nearest neighbours and their distance in Å.
Space group R3m (No. 160, hexagonal axes)
One atom of each set of equivalent atoms:
Cs: 0.0000 0.0000 0.0000  6 S 3.51-3.60
Pr: 0.0000 0.0000 0.1691  6 S 2.90-2.91
S: 0.0000 0.0000 0.5652  3 Pr 2.91
S: 0.0000 0.0000 0.7736  3 Pr 2.90

# 3
DFT (PBE) results for a relaxed Sr3CaRh crystal.

Computed properties:
* D(E_F): 17.31 states/eV/cell
* ρ: 3.25 g cm⁻³
* E_form: -0.15 eV per atom
* E above lowest polymorph: 53 meV per atom

abc: 7.8195 7.4379 14.2595
angles: 90.00 90.20 90.00
Last column: nearest neighbours and their distance in Å.
Space group P2/c (No. 13)
One atom of each set of equivalent atoms:
Sr: 0.1113 0.2243 0.4591  2 Rh 3.04-3.40
Sr: 0.2517 0.0431 0.2114  2 Rh 3.00-3.02
Sr: 0.3735 0.2637 0.9485  1 Rh 2.94
Ca: 0.2088 0.4337 0.7101  2 Rh 2.92-3.01
Rh: 0.0529 0.1776 0.8496  2 Ca 2.92-3.01, 4 Sr 2.94-3.04, 1 Rh 2.96

# 4
DFT (PBE) results for a relaxed LaPrAs2Rh5 crystal.

Computed properties:
* D(E_F): 3.80 states/eV/cell
* ρ: 9.35 g cm⁻³
* E_form: -0.77 eV per atom

abc: 4.3077 4.3077 9.0321
angles: 90.00 90.00 90.00
Last column: nearest neighbours and their distance in Å.
Space group P4/mmm (No. 123)
One atom of each set of equivalent atoms:
La: 0.0000 0.0000 0.0000  8 Rh 3.24, 8 As 3.35
Pr: 0.0000 0.0000 0.5000  12 Rh 3.00-3.05
As: 0.5000 0.5000 0.1539  4 Rh 2.39
Rh: 0.0000 0.5000 0.2682  2 As 2.39
Rh: 0.5000 0.5000 0.5000  8 Rh 3.00, 4 Pr 3.05, 2 As 3.13